Record 1
Compound: Sr2HoZnO5
Source: Alexandria
Functional: PBE
Structure: relaxed

Cell: 3.4521 7.3822 10.6065 Å, 90.00 90.00 103.52°
Last column: nearest neighbours and their distance in Å.
Fractional coordinates of all 18 atoms:
Sr  0.1148  0.2296  0.6967  8 O 2.58-2.87
Sr  0.8852  0.7704  0.1967  8 O 2.58-2.87
Sr  0.8712  0.7424  0.7951  7 O 2.54-2.83
Sr  0.1288  0.2576  0.2951  7 O 2.54-2.83
O  0.3017  0.6034  0.3652  2 Ho 2.27
O  0.3648  0.7297  0.0064  1 Zn 2.06, 1 Ho 2.23
O  0.9499  0.8998  0.5440  2 Zn 1.97
O  0.7087  0.4174  0.1464  2 Ho 2.30
O  0.6983  0.3966  0.8652  2 Ho 2.27
O  0.0501  0.1002  0.0440  2 Zn 1.97
O  0.2913  0.5826  0.6464  2 Ho 2.30
O  0.4992  0.9985  0.2903  1 Zn 1.98
O  0.6352  0.2703  0.5064  1 Zn 2.06, 1 Ho 2.23
O  0.5008  0.0015  0.7903  1 Zn 1.98
Ho  0.7903  0.5805  0.5032  6 O 2.23-2.33
Ho  0.2097  0.4195  0.0032  6 O 2.23-2.33
Zn  0.4937  0.9874  0.4765  4 O 1.97-2.06
Zn  0.5063  0.0126  0.9765  4 O 1.97-2.06

Output
Magnetization in μB/f.u.: 1.008
Uncorrected energy in eV per atom: -6.236



Record 2
Compound: Sr2HoZrO6
Source: Alexandria
Functional: PBE
Structure: relaxed

Cell: 5.9212 6.0542 8.4310 Å, 90.00 89.99 90.00°
Last column: nearest neighbours and their distance in Å.
Fractional coordinates of all 20 atoms:
Sr  0.4877  0.4567  0.2513  6 O 2.52-2.82
Sr  0.9877  0.0433  0.7513  6 O 2.52-2.82
Sr  0.0123  0.9567  0.2487  6 O 2.52-2.82
Sr  0.5123  0.5433  0.7487  6 O 2.52-2.82
Zr  0.0000  0.5000  0.5000  6 O 2.12-2.13
Zr  0.5000  0.0000  0.0000  6 O 2.12-2.13
O  0.1998  0.2170  0.4478  1 Zr 2.13, 1 Ho 2.25
O  0.5935  0.0339  0.2422  1 Zr 2.13, 1 Ho 2.25
O  0.9065  0.5339  0.2578  1 Zr 2.13, 1 Ho 2.25
O  0.7852  0.7981  0.9523  1 Zr 2.12, 1 Ho 2.24
O  0.6998  0.2830  0.9478  1 Zr 2.13, 1 Ho 2.25
O  0.3002  0.7170  0.0522  1 Zr 2.13, 1 Ho 2.25
O  0.8002  0.7830  0.5522  1 Zr 2.13, 1 Ho 2.25
O  0.7148  0.2981  0.5477  1 Zr 2.12, 1 Ho 2.24
O  0.4065  0.9661  0.7578  1 Zr 2.13, 1 Ho 2.25
O  0.2148  0.2019  0.0477  1 Zr 2.12, 1 Ho 2.24
O  0.0935  0.4661  0.7422  1 Zr 2.13, 1 Ho 2.25
O  0.2852  0.7019  0.4523  1 Zr 2.12, 1 Ho 2.24
Ho  0.5000  0.0000  0.5000  6 O 2.24-2.25
Ho  0.0000  0.5000  0.0000  6 O 2.24-2.25

Output
Magnetization in μB/f.u.: 1.112
Uncorrected energy in eV per atom: -7.633



Record 3
Compound: HoTa7O19
Source: Alexandria
Functional: PBE
Structure: relaxed

Cell: 6.2662 6.2662 20.0660 Å, 90.00 90.00 120.00°
Last column: nearest neighbours and their distance in Å.
Fractional coordinates of all 54 atoms:
O  0.4211  0.0880  0.8471  2 Ta 1.99-2.00
O  0.2366  0.2903  0.5556  2 Ta 2.01-2.04
O  0.0000  0.0000  0.6658  3 Ta 2.02
O  0.6254  0.9148  0.7500  2 Ta 1.93
O  0.3333  0.6667  0.1313  3 Ta 2.07
O  0.0852  0.7105  0.7500  2 Ta 1.93
O  0.2895  0.9148  0.2500  2 Ta 1.93
O  0.6254  0.7105  0.2500  2 Ta 1.93
O  0.0537  0.7634  0.5556  2 Ta 2.01-2.04
O  0.9120  0.3331  0.8471  2 Ta 1.99-2.00
O  0.9120  0.5789  0.1529  2 Ta 1.99-2.00
O  0.6669  0.0880  0.3471  2 Ta 1.99-2.00
O  0.0537  0.2903  0.0556  2 Ta 2.01-2.04
O  0.6669  0.5789  0.8471  2 Ta 1.99-2.00
O  0.0537  0.2903  0.4444  2 Ta 2.01-2.04
O  0.7097  0.9463  0.9444  2 Ta 2.01-2.04
O  0.0000  0.0000  0.8342  3 Ta 2.02
O  0.4211  0.3331  0.3471  2 Ta 1.99-2.00
O  0.0000  0.0000  0.3342  3 Ta 2.02
O  0.0537  0.7634  0.9444  2 Ta 2.01-2.04
O  0.3333  0.6667  0.3687  3 Ta 2.07
O  0.3333  0.6667  0.6313  3 Ta 2.07
O  0.7097  0.7634  0.4444  2 Ta 2.01-2.04
O  0.7097  0.9463  0.5556  2 Ta 2.01-2.04
O  0.2366  0.9463  0.4444  2 Ta 2.01-2.04
O  0.4211  0.3331  0.1529  2 Ta 1.99-2.00
O  0.0852  0.3746  0.2500  2 Ta 1.93
O  0.4211  0.0880  0.6529  2 Ta 1.99-2.00
O  0.6669  0.0880  0.1529  2 Ta 1.99-2.00
O  0.2895  0.3746  0.7500  2 Ta 1.93
O  0.9120  0.5789  0.3471  2 Ta 1.99-2.00
O  0.0000  0.0000  0.1658  3 Ta 2.02
O  0.6669  0.5789  0.6529  2 Ta 1.99-2.00
O  0.2366  0.2903  0.9444  2 Ta 2.01-2.04
O  0.3333  0.6667  0.8687  3 Ta 2.07
O  0.9120  0.3331  0.6529  2 Ta 1.99-2.00
O  0.2366  0.9463  0.0556  2 Ta 2.01-2.04
O  0.7097  0.7634  0.0556  2 Ta 2.01-2.04
Ho  0.3333  0.6667  0.5000  8 O 2.40-2.64
Ho  0.3333  0.6667  0.0000  8 O 2.40-2.64
Ta  0.3073  0.3333  0.6554  6 O 1.93-2.07
Ta  0.0260  0.6927  0.8446  6 O 1.93-2.07
Ta  0.0000  0.0000  0.5000  6 O 2.01
Ta  0.3073  0.9740  0.3446  6 O 1.93-2.07
Ta  0.3073  0.3333  0.8446  6 O 1.93-2.07
Ta  0.6667  0.6927  0.3446  6 O 1.93-2.07
Ta  0.0260  0.3333  0.1554  6 O 1.93-2.07
Ta  0.3073  0.9740  0.1554  6 O 1.93-2.07
Ta  0.0260  0.3333  0.3446  6 O 1.93-2.07
Ta  0.6667  0.6927  0.1554  6 O 1.93-2.07
Ta  0.6667  0.9740  0.6554  6 O 1.93-2.07
Ta  0.0000  0.0000  0.0000  6 O 2.01
Ta  0.0260  0.6927  0.6554  6 O 1.93-2.07
Ta  0.6667  0.9740  0.8446  6 O 1.93-2.07

Output
Magnetization in μB/f.u.: 0.000
Uncorrected energy in eV per atom: -9.660



Record 4
Compound: HoTa3O9
Source: Alexandria
Functional: PBE
Structure: relaxed

Cell: 7.5060 5.2854 8.3070 Å, 87.52 90.00 90.00°
Last column: nearest neighbours and their distance in Å.
Fractional coordinates of all 26 atoms:
O  0.7500  0.0974  0.0221  2 Ta 1.96
O  0.0439  0.2570  0.5327  2 Ta 2.04-2.21
O  0.9347  0.8524  0.7841  2 Ta 1.97-2.05
O  0.0542  0.3261  0.8795  2 Ta 1.86-2.00
O  0.7500  0.3332  0.3468  2 Ta 1.99
O  0.5542  0.6739  0.1205  2 Ta 1.86-2.00
O  0.9458  0.6739  0.1205  2 Ta 1.86-2.00
O  0.0653  0.1476  0.2159  2 Ta 1.97-2.05
O  0.9561  0.7430  0.4673  2 Ta 2.04-2.21
O  0.4458  0.3261  0.8795  2 Ta 1.86-2.00
O  0.5439  0.7430  0.4673  2 Ta 2.04-2.21
O  0.7500  0.4207  0.6856  2 Ta 2.02
O  0.4561  0.2570  0.5327  2 Ta 2.04-2.21
O  0.2500  0.5793  0.3144  2 Ta 2.02
O  0.2500  0.9026  0.9779  2 Ta 1.96
O  0.2500  0.6668  0.6532  2 Ta 1.99
O  0.4347  0.1476  0.2159  2 Ta 1.97-2.05
O  0.5653  0.8524  0.7841  2 Ta 1.97-2.05
Ta  0.9928  0.4713  0.3037  5 O 1.86-2.04
Ta  0.5072  0.4713  0.3037  5 O 1.86-2.04
Ta  0.4928  0.5287  0.6963  5 O 1.86-2.04
Ta  0.0000  0.0000  0.0000  6 O 1.96-2.05
Ta  0.0072  0.5287  0.6963  5 O 1.86-2.04
Ta  0.5000  0.0000  0.0000  6 O 1.96-2.05
Ho  0.2500  0.9659  0.4347  8 O 2.31-2.51
Ho  0.7500  0.0341  0.5653  8 O 2.31-2.51

Output
Magnetization in μB/f.u.: 0.000
Uncorrected energy in eV per atom: -9.559



Record 5
Compound: Ho2TaO
Source: Alexandria
Functional: PBE
Structure: relaxed

Cell: 3.2255 3.2255 8.9796 Å, 79.65 79.65 60.00°
Last column: nearest neighbours and their distance in Å.
Fractional coordinates of all 4 atoms:
O  0.5000  0.5000  0.5000  6 Ho 2.36
Ho  0.1117  0.1117  0.6648  3 O 2.36
Ho  0.8883  0.8883  0.3352  3 O 2.36
Ta  0.0000  0.0000  0.0000  2 Ho 2.94, 6 Ta 3.23

Output
Magnetization in μB/f.u.: 0.806
Uncorrected energy in eV per atom: -7.303



Record 6
Compound: Ho5Ta2O12
Source: Alexandria
Functional: PBE
Structure: relaxed

Cell: 5.8733 6.8510 7.3996 Å, 105.73 90.00 115.38°
Last column: nearest neighbours and their distance in Å.
Fractional coordinates of all 19 atoms:
Ta  0.7582  0.0000  0.0000  6 O 1.97-2.10
Ta  0.2418  0.0000  0.0000  6 O 1.97-2.10
O  0.4317  0.3323  0.0862  1 Ta 1.97
O  0.0994  0.6677  0.9138  1 Ta 1.97
O  0.5014  0.0028  0.8044  2 Ta 2.10, 1 Ho 2.31
O  0.0014  0.0029  0.8051  2 Ta 2.03, 1 Ho 2.25
O  0.4986  0.9972  0.1956  2 Ta 2.10, 1 Ho 2.31
O  0.9036  0.3083  0.5735  4 Ho 2.27-2.34
O  0.9006  0.3323  0.0862  1 Ta 1.97
O  0.9986  0.9971  0.1949  2 Ta 2.03, 1 Ho 2.25
O  0.5683  0.6677  0.9138  1 Ta 1.97
O  0.4047  0.3083  0.5735  4 Ho 2.27-2.34
O  0.0964  0.6917  0.4265  4 Ho 2.27-2.34
O  0.5953  0.6917  0.4265  4 Ho 2.27-2.34
Ho  0.0000  0.0000  0.5000  6 O 2.25-2.34
Ho  0.6993  0.3985  0.3635  7 O 2.27-2.42
Ho  0.3086  0.6172  0.1761  7 O 2.30-2.47
Ho  0.6914  0.3828  0.8239  7 O 2.30-2.47
Ho  0.3007  0.6015  0.6365  7 O 2.27-2.42

Output
Magnetization in μB/f.u.: 0.001
Uncorrected energy in eV per atom: -8.944